Record 1
The following is a DFT calculation (GGA-PBE) of an optimized crystal structure of CaLaPmSm.

D(E_F) ... 5.943 states/eV per cell
Energy relative to the lowest polymorph listed for this composition ... 0.0 meV/atom
Formation energy ... 36.7 meV/atom

Unit cell a=3.702 b=3.702 c=12.492 alpha=81.48 beta=81.48 gamma=60.00
Element x y z (fractional)
1 Ca 0.775 0.775 0.674
2 Sm 0.273 0.273 0.181
3 Pm 0.528 0.528 0.417
4 La 0.020 0.020 0.940

***

Record 2
The following is a DFT calculation (GGA-PBE) of an optimized crystal structure of SrAlB3.

D(E_F) ... 3.039 states/eV per cell
Energy relative to the lowest polymorph listed for this composition ... 0.0 meV/atom
Formation energy ... 1087.5 meV/atom

Unit cell a=4.299 b=4.299 c=4.299 alpha=90.00 beta=90.00 gamma=90.00
Element x y z (fractional)
1 B 0.000 0.500 0.000
2 B 0.000 0.000 0.500
3 B 0.500 0.000 0.000
4 Sr 0.500 0.500 0.500
5 Al 0.000 0.000 0.000

***

Record 3
The following is a DFT calculation (GGA-PBE) of an optimized crystal structure of Pa2PbCl8.

Formation energy without anion corrections ... -1429 meV per atom
D(E_F) ... 2.827 states/eV per cell

Unit cell a=6.675 b=8.150 c=8.150 alpha=94.65 beta=88.78 gamma=88.78
Each line ends with the local moment (μB).
Element x y z (fractional)
1 Pa 0.406 0.173 0.173  0.86
2 Pa 0.594 0.827 0.827  0.86
3 Cl 0.743 0.617 0.617  -0.02
4 Cl 0.702 0.082 0.687  -0.02
5 Cl 0.298 0.313 0.918  -0.02
6 Cl 0.222 0.763 0.763  0.00
7 Cl 0.298 0.918 0.313  -0.02
8 Cl 0.702 0.687 0.082  -0.02
9 Cl 0.778 0.237 0.237  0.00
10 Cl 0.257 0.383 0.383  -0.02
11 Pb 0.000 0.000 0.000  0.01